[1]
Computed, not measured: YReGe3 after structural relaxation at the GGA-PBE level of DFT.

extended XYZ file:
```
5
Lattice="4.847 0.000 0.000 0.000 4.847 0.000 0.000 0.000 4.847" Properties=species:S:1:pos:R:3 pbc="T T T"
Y 2.423 2.423 2.423
Ge 0.000 0.000 2.423
Ge 2.423 0.000 0.000
Re 0.000 0.000 0.000
Ge 0.000 2.423 0.000
```

Computed properties:
For the offset from the most stable computed form, the calculation gives 0.0000 eV/atom. The calculation puts the formation energy at 0.21 eV/atom. The space group is No. 221. As for the density: 7.19 g/cm³. As for the total energy: -31.7 eV/f.u. As for the magnetic moment: 0.000 μB/cell.

---

[2]
Computed, not measured: CdCo2MoN after structural relaxation at the GGA-PBE level of DFT.

extended XYZ file:
```
5
Lattice="-3.909 0.533 -0.112 -0.237 -2.400 -3.124 -0.506 -3.185 2.485" Properties=species:S:1:pos:R:3 pbc="T T T"
Co -0.119 -1.200 -1.562
Mo -0.253 -1.593 1.243
Co -1.954 0.266 -0.056
N 0.000 0.000 0.000
Cd -2.326 -2.526 -0.376
```

Computed properties:
The space group is No. 123. Its uncorrected formation energy is 0.071 eV/atom. As for the density: 8.91 g/cm³. As for the total energy: -33.9 eV/f.u. As for the magnetic moment: 2.786 μB/cell.